No. 1
Below is YNbOs after structural relaxation, with properties calculated at the PBE-GGA level.

M_tot: 0.000 μB per cell
symmetry: No. 38
polymorph energy (0 for the lowest one): 50 meV per atom

Unit cell a=6.8126 b=8.2370 c=8.2370 alpha=68.55 beta=65.57 gamma=65.57
Element x y z (fractional)
Os  0.2567  0.7499  0.2499
Y  0.8317  0.7500  0.2500
Nb  0.0091  0.6239  0.6238
Os  0.9234  0.8335  0.8334
Y  0.6822  0.5373  0.0373
Nb  0.0091  0.1238  0.1239
Nb  0.5052  0.5000  0.5000
Nb  0.2567  0.8762  0.8761
Y  0.8317  0.2500  0.7500
Y  0.2568  0.9626  0.4626
Y  0.6820  0.0374  0.5374
Os  0.5903  0.6666  0.6665
Nb  0.2567  0.3761  0.3762
Nb  0.5052  0.0000  0.0000
Os  0.5903  0.1665  0.1666
Os  0.9234  0.3334  0.3335
Os  0.2564  0.2501  0.7501
Y  0.2569  0.4627  0.9627



No. 2
Below is YNbOs2 after structural relaxation, with properties calculated at the PBE-GGA level.

final energy: -9.94 eV/atom
M_tot: 0.000 μB per cell
symmetry: No. 123

Unit cell a=3.2188 b=3.2188 c=6.9872 alpha=90.00 beta=90.00 gamma=90.00
Element x y z (fractional)
Os  0.0000  0.0000  0.7817
Y  0.5000  0.5000  0.5000
Os  0.0000  0.0000  0.2183
Nb  0.5000  0.5000  0.0000



No. 3
Below is Y2NbOs after structural relaxation, with properties calculated at the PBE-GGA level.

M_tot: 0.000 μB per cell
symmetry: No. 122
polymorph energy (0 for the lowest one): 312 meV per atom

Unit cell a=8.2939 b=8.2939 c=6.5053 alpha=50.40 beta=50.40 gamma=90.00
Element x y z (fractional)
Y  0.6833  0.1250  0.2500
Y  0.8750  0.9333  0.7500
Y  0.3750  0.3167  0.7500
Y  0.0667  0.6250  0.2500
Os  0.0000  0.0000  0.0000
Nb  0.5000  0.5000  0.0000
Os  0.7500  0.2500  0.5000
Nb  0.2500  0.7500  0.5000



No. 4
Below is Y2NbOs2 after structural relaxation, with properties calculated at the PBE-GGA level.

M_tot: 0.000 μB per cell
symmetry: No. 127
polymorph energy (0 for the lowest one): 105 meV per atom

Unit cell a=6.7650 b=6.7650 c=4.7182 alpha=90.00 beta=90.00 gamma=90.00
Element x y z (fractional)
Os  0.6271  0.1271  0.0000
Os  0.8729  0.6271  0.0000
Y  0.1790  0.6790  0.5000
Os  0.1271  0.3729  0.0000
Nb  0.5000  0.5000  0.0000
Y  0.8210  0.3210  0.5000
Os  0.3729  0.8729  0.0000
Y  0.6790  0.8210  0.5000
Nb  0.0000  0.0000  0.0000
Y  0.3210  0.1790  0.5000



No. 5
Below is YNbOs4 after structural relaxation, with properties calculated at the PBE-GGA level.

final energy: -10.32 eV/atom
M_tot: 0.000 μB per cell
symmetry: No. 216

Unit cell a=5.2587 b=5.2587 c=5.2587 alpha=60.00 beta=60.00 gamma=60.00
Element x y z (fractional)
Os  0.6252  0.1244  0.6252
Y  0.0000  0.0000  0.0000
Os  0.6252  0.6252  0.6252
Os  0.6252  0.6252  0.1244
Os  0.1244  0.6252  0.6252
Nb  0.2500  0.2500  0.2500



No. 6
Below is Y2NbOs after structural relaxation, with properties calculated at the PBE-GGA level.

M_tot: 2.971 μB per cell
symmetry: No. 225
polymorph energy (0 for the lowest one): 0 meV per atom

Unit cell a=4.9885 b=4.9885 c=4.9885 alpha=60.00 beta=60.00 gamma=60.00
Each line ends with the local moment (μB).
Element x y z (fractional)
Nb  0.0000  0.0000  0.0000  1.89
Y  0.7500  0.7500  0.7500  0.22
Y  0.2500  0.2500  0.2500  0.22
Os  0.5000  0.5000  0.5000  0.06



Question: Which value of M_tot does entry 5 give?
Answer: 0.000 μB per cell